[1]
Crystalline Cs2PdW at its relaxed geometry. Source: Alexandria, functional PBE.

a = 5.676 Å, b = 5.676 Å, c = 5.676 Å
α = 60.00°, β = 60.00°, γ = 60.00°
Each line ends with the local moment (μB).
Positions (direct):
W: 0.500 0.500 0.500  3.20
Cs: 0.250 0.250 0.250  0.04
Cs: 0.750 0.750 0.750  0.04
Pd: 0.000 0.000 0.000  0.02

Values from the calculation:
- formation energy (meV/atom) = 1831
- crystal system = cubic
- size of the total moment (μB/cell) = 4.3
- D(E_F) (states/eV per cell) = 2.9

[2]
Crystalline Er2TeH at its relaxed geometry. Source: Alexandria, functional PBE.

a = 3.831 Å, b = 3.831 Å, c = 7.242 Å
α = 74.66°, β = 74.66°, γ = 60.00°
Positions (direct):
Te: 0.500 0.500 0.500
H: 0.000 0.000 0.000
Er: 0.730 0.730 0.809
Er: 0.270 0.270 0.191

Values from the calculation:
- crystal system = trigonal
- size of the total moment (μB/cell) = 0.0
- energy above the lowest structure with this stoichiometry (meV per atom) = 124
- D(E_F) (states/eV per cell) = 2.4

[3]
Crystalline Ca2InCl at its relaxed geometry. Source: Alexandria, functional PBE.

a = 5.509 Å, b = 5.509 Å, c = 5.509 Å
α = 60.00°, β = 60.00°, γ = 60.00°
Each line ends with the local moment (μB).
Positions (direct):
Cl: 0.000 0.000 0.000  0.10
Ca: 0.750 0.750 0.750  0.13
In: 0.500 0.500 0.500  0.38
Ca: 0.250 0.250 0.250  0.13

Values from the calculation:
- crystal system = cubic
- size of the total moment (μB/cell) = 2.0
- formation energy without anion corrections (eV per atom) = -0.68
- energy above the lowest structure with this stoichiometry (meV per atom) = 400
- D(E_F) (states/eV per cell) = 1.8

[4]
Crystalline HoRhO4 at its relaxed geometry. Source: Alexandria, functional PBE.

a = 5.170 Å, b = 5.322 Å, c = 6.077 Å
α = 108.41°, β = 115.18°, γ = 90.00°
Each line ends with the local moment (μB).
Positions (direct):
O: 0.116 0.647 0.315  0.03
O: 0.800 0.853 0.685  0.03
O: 0.323 0.039 0.809  0.16
O: 0.677 0.961 0.191  0.16
O: 0.514 0.461 0.191  0.16
O: 0.884 0.353 0.685  0.03
O: 0.200 0.147 0.315  0.03
Rh: 0.000 0.000 0.500  0.53
Ho: 0.225 0.750 0.000  0.05
O: 0.486 0.539 0.809  0.16
Rh: 0.500 0.500 0.500  0.53
Ho: 0.775 0.250 0.000  0.05

Values from the calculation:
- crystal system = monoclinic
- size of the total moment (μB/cell) = 2.0
- formation energy without anion corrections (eV per atom) = -1.73
- D(E_F) (states/eV per cell) = 7.2

[5]
Crystalline ScNiOs at its relaxed geometry. Source: Alexandria, functional PBE.

a = 4.177 Å, b = 4.177 Å, c = 3.137 Å
α = 90.00°, β = 90.00°, γ = 120.00°
Positions (direct):
Sc: 0.667 0.333 0.667
Os: 0.333 0.667 0.167
Ni: 0.000 0.000 0.167

Values from the calculation:
- formation energy (meV/atom) = -87
- crystal system = hexagonal
- size of the total moment (μB/cell) = 0.0
- energy above the lowest structure with this stoichiometry (meV per atom) = 363
- D(E_F) (states/eV per cell) = 4.1

[6]
Crystalline TlCdW4 at its relaxed geometry. Source: Alexandria, functional PBE.

a = 5.437 Å, b = 5.437 Å, c = 5.437 Å
α = 60.00°, β = 60.00°, γ = 60.00°
Positions (direct):
W: 0.376 0.376 0.872
W: 0.376 0.376 0.376
W: 0.872 0.376 0.376
W: 0.376 0.872 0.376
Cd: 0.750 0.750 0.750
Tl: 0.000 0.000 0.000

Values from the calculation:
- formation energy (meV/atom) = 841
- crystal system = cubic
- size of the total moment (μB/cell) = 0.0
- D(E_F) (states/eV per cell) = 6.6

[7]
Crystalline Sr5Ag2Pb5 at its relaxed geometry. Source: Alexandria, functional PBE.

a = 5.110 Å, b = 9.067 Å, c = 9.350 Å
α = 73.83°, β = 74.14°, γ = 73.63°
Positions (direct):
Sr: 0.370 0.324 0.935
Pb: 0.038 0.258 0.666
Sr: 0.630 0.676 0.065
Pb: 0.754 0.257 0.236
Sr: 0.330 0.001 0.338
Sr: 0.500 0.500 0.500
Pb: 0.246 0.743 0.764
Ag: 0.153 0.418 0.276
Pb: 0.000 0.000 0.000
Ag: 0.847 0.582 0.724
Pb: 0.962 0.742 0.334
Sr: 0.670 0.999 0.662

Values from the calculation:
- formation energy (meV/atom) = -429
- crystal system = monoclinic
- size of the total moment (μB/cell) = 0.0
- D(E_F) (states/eV per cell) = 7.2

[8]
Crystalline BeZn2B at its relaxed geometry. Source: Alexandria, functional PBE.

a = 8.054 Å, b = 8.054 Å, c = 5.984 Å
α = 47.71°, β = 47.71°, γ = 90.00°
Positions (direct):
Be: 0.250 0.750 0.500
Zn: 0.875 0.124 0.750
Zn: 0.874 0.125 0.250
Zn: 0.375 0.126 0.750
Be: 0.500 0.500 0.000
B: 0.750 0.250 0.500
B: 0.000 0.000 0.000
Zn: 0.876 0.625 0.250

Values from the calculation:
- formation energy (meV/atom) = 306
- crystal system = tetragonal
- size of the total moment (μB/cell) = 0.0
- energy above the lowest structure with this stoichiometry (meV per atom) = 0
- D(E_F) (states/eV per cell) = 1.4

[9]
Crystalline CeTm2Hf at its relaxed geometry. Source: Alexandria, functional PBE.

a = 3.974 Å, b = 3.974 Å, c = 7.066 Å
α = 90.00°, β = 90.00°, γ = 90.00°
Each line ends with the local moment (μB).
Positions (direct):
Tm: 0.000 0.000 0.230  0.02
Tm: 0.000 0.000 0.770  0.02
Hf: 0.500 0.500 0.000  0.00
Ce: 0.500 0.500 0.500  0.54

Values from the calculation:
- formation energy (meV/atom) = 261
- crystal system = tetragonal
- size of the total moment (μB/cell) = 0.7
- energy above the lowest structure with this stoichiometry (meV per atom) = 139
- D(E_F) (states/eV per cell) = 10.2

[10]
Crystalline TbPmSm6Ho2 at its relaxed geometry. Source: Alexandria, functional PBE.

a = 9.671 Å, b = 8.885 Å, c = 8.885 Å
α = 117.64°, β = 94.03°, γ = 94.03°
Positions (direct):
Sm: 0.880 0.293 0.508
Sm: 0.055 0.115 0.757
Ho: 0.455 0.803 0.704
Sm: 0.945 0.885 0.243
Ho: 0.045 0.296 0.197
Sm: 0.184 0.567 0.018
Ho: 0.545 0.197 0.296
Ho: 0.955 0.704 0.803
Sm: 0.120 0.707 0.492
Sm: 0.380 0.508 0.293
Tb: 0.250 0.972 0.028
Sm: 0.684 0.018 0.567
Pm: 0.250 0.407 0.593
Sm: 0.555 0.757 0.115
Pm: 0.750 0.593 0.407
Sm: 0.620 0.492 0.707
Sm: 0.816 0.433 0.982
Sm: 0.316 0.982 0.433
Sm: 0.445 0.243 0.885
Tb: 0.750 0.028 0.972

Values from the calculation:
- formation energy (meV/atom) = 119
- crystal system = monoclinic
- size of the total moment (μB/cell) = 0.0
- D(E_F) (states/eV per cell) = 29.5

[11]
Crystalline MnBeAs2 at its relaxed geometry. Source: Alexandria, functional PBE.

a = 3.552 Å, b = 3.552 Å, c = 5.025 Å
α = 90.00°, β = 90.00°, γ = 90.00°
Each line ends with the local moment (μB).
Positions (direct):
As: 0.500 0.500 0.374  -0.09
As: 0.000 0.000 0.876  -0.08
Mn: 0.500 0.500 0.874  3.39
Be: 0.000 0.000 0.376  0.05

Values from the calculation:
- formation energy (meV/atom) = 97
- crystal system = tetragonal
- size of the total moment (μB/cell) = 3.4
- energy above the lowest structure with this stoichiometry (meV per atom) = 131
- D(E_F) (states/eV per cell) = 1.4

[12]
Crystalline MgSeIBr2 at its relaxed geometry. Source: Alexandria, functional PBE.

a = 4.896 Å, b = 4.896 Å, c = 6.450 Å
α = 90.00°, β = 90.00°, γ = 90.00°
Positions (direct):
Mg: 0.000 0.000 0.000
I: 0.500 0.500 0.500
Se: 0.000 0.000 0.500
Br: 0.000 0.500 0.000
Br: 0.500 0.000 0.000

Values from the calculation:
- crystal system = tetragonal
- size of the total moment (μB/cell) = 0.0
- formation energy without anion corrections (eV per atom) = -0.32
- energy above the lowest structure with this stoichiometry (meV per atom) = 0
- D(E_F) (states/eV per cell) = 4.2